Record 1
Entry from Alexandria: a relaxed SiHg3Pd crystal (PBE).

**Raw formation energy**: 0.603 eV/atom
**ΔE to the lowest computed polymorph**: 36 meV per atom
**Spin magnetization**: 0.00 μB per formula unit

Cell lengths 5.1820, 5.1820, 5.1820 Å; angles 90.00, 90.00, 90.00 degrees
Closest atoms and distances in Å follow each position.
Sites, in units of the cell vectors:
Si (0.5000, 0.5000, 0.5000)  12 Hg 3.66
Hg (0.0000, 0.5000, 0.0000)  2 Pd 2.59
Hg (0.5000, 0.0000, 0.0000)  2 Pd 2.59
Hg (0.0000, 0.0000, 0.5000)  2 Pd 2.59
Pd (0.0000, 0.0000, 0.0000)  6 Hg 2.59

Record 2
Entry from Alexandria: a relaxed CrReHg2 crystal (PBE).

**ΔE to the lowest computed polymorph**: 400 meV per atom
**Formation energy from the elements**: 3.313 eV/f.u.
**Spin magnetization**: 3.06 μB per formula unit

Cell lengths 2.8840, 4.2777, 5.7618 Å; angles 90.00, 90.00, 90.00 degrees
Closest atoms and distances in Å follow each position.
Sites, in units of the cell vectors:
Hg (0.0000, 0.0000, 0.5012)  4 Hg 2.87-2.89, 4 Cr 2.95, 4 Re 2.96
Hg (0.0000, 0.0000, 0.9988)  4 Hg 2.87-2.89, 4 Cr 2.95, 4 Re 2.96
Cr (0.5000, 0.5000, 0.7500)  2 Re 2.88, 2 Cr 2.88, 8 Hg 2.95
Re (0.5000, 0.5000, 0.2500)  2 Cr 2.88, 2 Re 2.88, 8 Hg 2.96

Record 3
Entry from Alexandria: a relaxed Be2Hg2F crystal (PBE).

**Raw formation energy**: -0.049 eV/atom
**Spin magnetization**: 0.00 μB per formula unit

Cell lengths 7.3025, 7.3025, 2.8430 Å; angles 90.00, 90.00, 90.00 degrees
Closest atoms and distances in Å follow each position.
Sites, in units of the cell vectors:
F (0.0000, 0.0000, 0.0000)  4 Hg 2.64, 2 F 2.84
F (0.5000, 0.5000, 0.0000)  4 Hg 2.64, 2 F 2.84
Hg (0.1969, 0.3031, 0.0000)  6 Be 2.50-2.70, 2 F 2.64
Hg (0.8031, 0.6969, 0.0000)  6 Be 2.50-2.70, 2 F 2.64
Hg (0.3031, 0.8031, 0.0000)  6 Be 2.50-2.70, 2 F 2.64
Hg (0.6969, 0.1969, 0.0000)  6 Be 2.50-2.70, 2 F 2.64
Be (0.8961, 0.3961, 0.5000)  1 Be 2.15
Be (0.3961, 0.1039, 0.5000)  1 Be 2.15
Be (0.1039, 0.6039, 0.5000)  1 Be 2.15
Be (0.6039, 0.8961, 0.5000)  1 Be 2.15

Record 4
Entry from Alexandria: a relaxed Hf2CrTcH crystal (PBE).

**Final energy**: -44.4 eV per cell
**Spin magnetization**: 1.35 μB per formula unit

Cell lengths 4.5911, 4.5911, 3.3488 Å; angles 90.00, 90.00, 90.00 degrees
Closest atoms and distances in Å follow each position.
Sites, in units of the cell vectors:
Tc (0.5000, 0.5000, 0.5000)  8 Hf 2.84
H (0.0000, 0.0000, 0.0000)  2 Cr 1.67
Hf (0.5000, 0.0000, 0.0000)  2 H 2.30
Hf (0.0000, 0.5000, 0.0000)  2 H 2.30
Cr (0.0000, 0.0000, 0.5000)  2 H 1.67

Record 5
Entry from Alexandria: a relaxed LaPmDyMg crystal (PBE).

**ΔE to the lowest computed polymorph**: 0 meV per atom
**Formation energy from the elements**: -0.118 eV/f.u.
**Spin magnetization**: 0.00 μB per formula unit

Cell lengths 3.7401, 3.7401, 9.0242 Å; angles 90.00, 90.00, 90.00 degrees
Closest atoms and distances in Å follow each position.
Sites, in units of the cell vectors:
Mg (0.0000, 0.0000, 0.5652)  4 Dy 3.28, 4 Pm 3.35
Dy (0.5000, 0.5000, 0.3507)  4 Mg 3.28, 4 La 3.62
Pm (0.5000, 0.5000, 0.7926)  4 Mg 3.35, 4 La 3.68, 4 Pm 3.74
La (0.0000, 0.0000, 0.0762)  4 Dy 3.62, 4 Pm 3.68, 4 La 3.74

Record 6
Entry from Alexandria: a relaxed Li5Tl4Cd crystal (PBE).

**Formation energy from the elements**: -2.281 eV/f.u.
**Spin magnetization**: 0.00 μB per formula unit

Cell lengths 3.4108, 3.4108, 17.6913 Å; angles 90.00, 90.00, 90.00 degrees
Closest atoms and distances in Å follow each position.
Sites, in units of the cell vectors:
Li (0.5000, 0.5000, 0.0935)  4 Cd 2.92, 4 Tl 2.99
Li (0.5000, 0.5000, 0.5000)  8 Tl 3.02
Li (0.5000, 0.5000, 0.9065)  4 Cd 2.92, 4 Tl 2.99
Li (0.5000, 0.5000, 0.2955)  8 Tl 3.01-3.02
Li (0.5000, 0.5000, 0.7045)  8 Tl 3.01-3.02
Tl (0.0000, 0.0000, 0.6027)  8 Li 3.01-3.02
Tl (0.0000, 0.0000, 0.1931)  8 Li 2.99-3.02
Tl (0.0000, 0.0000, 0.3973)  8 Li 3.01-3.02
Tl (0.0000, 0.0000, 0.8069)  8 Li 2.99-3.02
Cd (0.0000, 0.0000, 0.0000)  8 Li 2.92

> Look up the spin magnetization of the third one.

0.00 μB per formula unit